1.
Compound: FeAgMo3
Source: Alexandria via LeMat-Bulk
Functional: PBE
Structure: optimized geometry

## Properties
**ΔH_f (0 K)**: 1.161 eV/atom
**Magnetic moment**: 0.00 μB/cell
**Energy above the lowest structure with this stoichiometry**: 0.000 eV/atom

Lattice parameters (Å, degrees): 4.4657 4.4657 4.4657 90.00 90.00 90.00
Space group Pm-3m (No. 221)
Inequivalent atoms, fractional coordinates:
Fe: 0.0000 0.0000 0.0000
Ag: 0.5000 0.5000 0.5000
Mo: 0.0000 0.0000 0.5000

---

2.
Compound: Na3CdGe
Source: Alexandria via LeMat-Bulk
Functional: PBE
Structure: optimized geometry

## Properties
**ΔH_f (0 K)**: -0.025 eV/atom
**Magnetic moment**: 0.00 μB/cell
**Energy above the lowest structure with this stoichiometry**: 0.000 eV/atom

Lattice parameters (Å, degrees): 5.9586 5.6545 7.8572 90.00 104.30 90.00
Space group P2_1/m (No. 11)
Inequivalent atoms, fractional coordinates:
Na: 0.0000 0.0000 0.0000
Na: 0.3433 0.2500 0.4011
Na: 0.4706 0.2500 0.8615
Cd: 0.0532 0.7500 0.3763
Ge: 0.2171 0.7500 0.7366